Rb2TbAg2Se4 | PBE-GGA | optimized geometry

Properties
**Final energy**: -3.925 eV/atom
**DOS at the Fermi energy**: 4.341 states/eV/cell
**Magnetic moment**: 0.0 μB per cell

a b c (Å): 4.207 8.328 8.134
angles (deg): 108.00 104.99 90.00
Fractional positions:
Ag (0.321, 0.018, 0.641)
Ag (0.679, 0.982, 0.359)
Rb (0.131, 0.564, 0.261)
Rb (0.869, 0.436, 0.739)
Se (0.512, 0.767, 0.024)
Se (0.195, 0.189, 0.391)
Se (0.805, 0.811, 0.609)
Se (0.488, 0.233, 0.976)
Tb (0.000, 0.000, 0.000)